Computed, not measured: Ga4Ni4C3 after structural relaxation at the PBE level of DFT.

Total DFT energy (no corrections)   -4.03 eV per atom
Crystal system   cubic
Space-group type   I-43m (217)

Lattice parameters (Å, degrees): 6.0202 6.0202 6.0202 109.47 109.47 109.47
Atoms (fractional coordinates):
C 0.5000 0.5000 0.0000
C 0.5000 0.0000 0.5000
C 0.0000 0.5000 0.5000
Ga 0.6062 0.0000 0.0000
Ga 0.0000 0.6062 0.0000
Ga 0.3938 0.3938 0.3938
Ga 0.0000 0.0000 0.6062
Ni 0.2471 0.0000 0.0000
Ni 0.0000 0.2471 0.0000
Ni 0.0000 0.0000 0.2471
Ni 0.7529 0.7529 0.7529